Entry 1:
Below is Ho4ZnHg3 after structural relaxation, with properties calculated at the PBE level.

Computed properties:
Energy above the lowest structure with this stoichiometry in meV/atom: 44

Lattice parameters (Å, degrees): 3.792 4.705 11.427 90.00 90.00 90.00
Sites, in units of the cell vectors:
Ho  0.000  0.000  0.000
Ho  0.000  0.500  0.289
Ho  0.500  0.000  0.487
Ho  0.500  0.500  0.792
Zn  0.500  0.000  0.223
Hg  0.000  0.000  0.730
Hg  0.000  0.500  0.557
Hg  0.500  0.500  0.065


Entry 2:
Below is Ho4ZnHg after structural relaxation, with properties calculated at the PBE level.

Computed properties:
Energy above the lowest structure with this stoichiometry in meV/atom: 0

Lattice parameters (Å, degrees): 3.562 3.562 12.543 90.00 90.00 90.00
Sites, in units of the cell vectors:
Ho  0.000  0.000  0.140
Ho  0.000  0.000  0.860
Ho  0.500  0.500  0.340
Ho  0.500  0.500  0.660
Zn  0.500  0.500  0.000
Hg  0.000  0.000  0.500


Entry 3:
Below is Ho5Zn2Hg after structural relaxation, with properties calculated at the PBE level.

Lattice parameters (Å, degrees): 9.263 9.263 9.263 133.21 133.21 68.32
Sites, in units of the cell vectors:
Ho  0.000  0.000  0.000
Ho  0.021  0.521  0.839
Ho  0.182  0.021  0.500
Ho  0.318  0.818  0.839
Ho  0.479  0.318  0.500
Ho  0.500  0.500  0.000
Ho  0.521  0.682  0.500
Ho  0.682  0.182  0.161
Ho  0.818  0.979  0.500
Ho  0.979  0.479  0.161
Zn  0.122  0.378  0.500
Zn  0.378  0.878  0.256
Zn  0.622  0.122  0.744
Zn  0.878  0.622  0.500
Hg  0.250  0.250  0.000
Hg  0.750  0.750  0.000


Entry 4:
Below is Ho6ZnHg5 after structural relaxation, with properties calculated at the PBE level.

Lattice parameters (Å, degrees): 8.251 8.251 7.373 90.00 90.00 143.29
Sites, in units of the cell vectors:
Ho  0.000  0.000  0.245
Ho  0.000  0.000  0.755
Ho  0.335  0.665  0.246
Ho  0.335  0.665  0.754
Ho  0.665  0.335  0.246
Ho  0.665  0.335  0.754
Zn  0.500  0.500  0.000
Hg  0.163  0.837  0.000
Hg  0.166  0.834  0.500
Hg  0.500  0.500  0.500
Hg  0.834  0.166  0.500
Hg  0.837  0.163  0.000


Entry 5:
Below is Ho4ZnHg7 after structural relaxation, with properties calculated at the PBE level.

Lattice parameters (Å, degrees): 7.004 7.004 10.580 117.76 117.76 43.71
Sites, in units of the cell vectors:
Ho  0.077  0.077  0.274
Ho  0.234  0.234  0.808
Ho  0.766  0.766  0.192
Ho  0.923  0.923  0.726
Zn  0.500  0.500  0.500
Hg  0.000  0.000  0.500
Hg  0.142  0.142  0.036
Hg  0.310  0.310  0.573
Hg  0.422  0.422  0.155
Hg  0.578  0.578  0.845
Hg  0.690  0.690  0.427
Hg  0.858  0.858  0.964


Entry 6:
Below is Ho4Zn2Hg after structural relaxation, with properties calculated at the PBE level.

Computed properties:
Energy above the lowest structure with this stoichiometry in meV/atom: 0

Lattice parameters (Å, degrees): 8.621 8.621 8.621 34.03 34.03 34.03
Sites, in units of the cell vectors:
Ho  0.117  0.117  0.117
Ho  0.370  0.370  0.370
Ho  0.630  0.630  0.630
Ho  0.883  0.883  0.883
Zn  0.249  0.249  0.249
Zn  0.751  0.751  0.751
Hg  0.500  0.500  0.500


The calculated formation energy results, record by record, are as follows: -400; -253; -279; -454; -250; -221 meV per atom.
The final energy results, record by record, are as follows: -2.962; -3.568; -3.496; -2.975; -2.058; -3.244 eV per atom.
The size of the total moment results, record by record, are as follows: 0.0; 1.4; 0.0; 0.0; 0.0; 0.0 Bohr magnetons per cell.